No. 1
# PBE-GGA PmPSe4, relaxed
data_PmPSe4
_space_group_name_H-M_alt 'I -4'
_space_group_IT_number 82
_cell_length_a 6.694
_cell_length_b 6.694
_cell_length_c 7.391
_cell_angle_alpha 90.00
_cell_angle_beta 90.00
_cell_angle_gamma 90.00
loop_
_space_group_symop_operation_xyz
'x,y,z'
'y,-x,-z'
'-x,-y,z'
'-y,x,-z'
'x+1/2,y+1/2,z+1/2'
'y+1/2,-x+1/2,-z+1/2'
'-x+1/2,-y+1/2,z+1/2'
'-y+1/2,x+1/2,-z+1/2'
loop_
_atom_site_label
_atom_site_fract_x
_atom_site_fract_y
_atom_site_fract_z
_atom_site_occupancy
Pm1 0.000 0.000 0.000 1
P1 0.000 0.500 0.750 1
Se1 0.154 0.756 0.609 1
# formation energy from raw total energies	-728	meV per atom

=====

No. 2
# PBE-GGA Pd3RuPt, relaxed
data_Pd3RuPt
_space_group_name_H-M_alt 'P m -3 m'
_space_group_IT_number 221
_space_group_name_Hall '-P 4 2 3'
_cell_length_a 4.697
_cell_length_b 4.697
_cell_length_c 4.697
_cell_angle_alpha 90.00
_cell_angle_beta 90.00
_cell_angle_gamma 90.00
loop_
_atom_site_label
_atom_site_fract_x
_atom_site_fract_y
_atom_site_fract_z
_atom_site_occupancy
Pd1 0.000 0.000 0.500 1
Ru1 0.000 0.000 0.000 1
Pt1 0.500 0.500 0.500 1
# DOS at the Fermi energy	1.450	states/eV/atom
# offset from the most stable computed form	0.0	meV per atom
# energy of formation from the pure elements	1.42	eV/atom

=====

No. 3
# PBE-GGA Ti6CoNi, relaxed
data_Ti6CoNi
_space_group_name_H-M_alt 'I 4/m m m'
_space_group_IT_number 139
_space_group_name_Hall '-I 4 2'
_cell_length_a 4.252
_cell_length_b 4.252
_cell_length_c 13.424
_cell_angle_alpha 90.00
_cell_angle_beta 90.00
_cell_angle_gamma 90.00
loop_
_atom_site_label
_atom_site_fract_x
_atom_site_fract_y
_atom_site_fract_z
_atom_site_occupancy
Ti1 0.000 0.000 0.250 1
Ti2 0.000 0.500 0.111 1
Co1 0.000 0.000 0.000 1
Ni1 0.000 0.000 0.500 1
# DOS at the Fermi energy	1.113	states/eV/atom
# offset from the most stable computed form	0.0	meV per atom
# energy of formation from the pure elements	-0.20	eV/atom

=====

No. 4
# PBE-GGA Co2AgPt, relaxed
data_Co2AgPt
_space_group_name_H-M_alt 'I 4/m m m'
_space_group_IT_number 139
_space_group_name_Hall '-I 4 2'
_cell_length_a 3.850
_cell_length_b 3.850
_cell_length_c 7.537
_cell_angle_alpha 90.00
_cell_angle_beta 90.00
_cell_angle_gamma 90.00
loop_
_atom_site_label
_atom_site_fract_x
_atom_site_fract_y
_atom_site_fract_z
_atom_site_occupancy
Co1 0.000 0.500 0.250 1
Ag1 0.000 0.000 0.000 1
Pt1 0.000 0.000 0.500 1
# DOS at the Fermi energy	1.639	states/eV/atom
# energy of formation from the pure elements	0.23	eV/atom

=====

No. 5
# PBE-GGA BiMoSCl2, relaxed
data_BiMoSCl2
_space_group_name_H-M_alt 'P 4/m m m'
_space_group_IT_number 123
_space_group_name_Hall '-P 4 2'
_cell_length_a 5.385
_cell_length_b 5.385
_cell_length_c 5.415
_cell_angle_alpha 90.00
_cell_angle_beta 90.00
_cell_angle_gamma 90.00
loop_
_atom_site_label
_atom_site_fract_x
_atom_site_fract_y
_atom_site_fract_z
_atom_site_occupancy
Bi1 0.000 0.000 0.000 1
Mo1 0.500 0.500 0.500 1
S1 0.000 0.000 0.500 1
Cl1 0.000 0.500 0.000 1
# DOS at the Fermi energy	0.227	states/eV/atom
# offset from the most stable computed form	512.1	meV per atom
# formation energy from raw total energies	537	meV per atom

=====

No. 6
# PBE-GGA CsHfReW2, relaxed
data_CsHfReW2
_space_group_name_H-M_alt 'P 4/m m m'
_space_group_IT_number 123
_space_group_name_Hall '-P 4 2'
_cell_length_a 4.883
_cell_length_b 4.883
_cell_length_c 4.859
_cell_angle_alpha 90.00
_cell_angle_beta 90.00
_cell_angle_gamma 90.00
loop_
_atom_site_label
_atom_site_fract_x
_atom_site_fract_y
_atom_site_fract_z
_atom_site_occupancy
Cs1 0.000 0.000 0.000 1
Hf1 0.500 0.500 0.500 1
Re1 0.000 0.000 0.500 1
W1 0.000 0.500 0.000 1
# DOS at the Fermi energy	1.344	states/eV/atom
# energy of formation from the pure elements	3.56	eV/atom

=====

No. 7
# PBE-GGA SrMg3, relaxed
data_SrMg3
_space_group_name_H-M_alt 'C 1 2/m 1'
_space_group_IT_number 12
_cell_length_a 11.095
_cell_length_b 6.317
_cell_length_c 10.831
_cell_angle_alpha 90.00
_cell_angle_beta 109.66
_cell_angle_gamma 90.00
loop_
_space_group_symop_operation_xyz
'x,y,z'
'-x,-y,-z'
'-x,y,-z'
'x,-y,z'
'x+1/2,y+1/2,z'
'-x+1/2,-y+1/2,-z'
'-x+1/2,y+1/2,-z'
'x+1/2,-y+1/2,z'
loop_
_atom_site_label
_atom_site_fract_x
_atom_site_fract_y
_atom_site_fract_z
_atom_site_occupancy
Sr1 0.000 0.000 0.000 1
Sr2 0.143 0.000 0.429 1
Mg1 0.000 0.500 0.500 1
Mg2 0.083 0.500 0.245 1
Mg3 0.167 0.500 0.999 1
Mg4 0.168 0.248 0.752 1
# DOS at the Fermi energy	0.830	states/eV/atom
# energy of formation from the pure elements	-0.08	eV/atom

=====

No. 8
# PBE-GGA SmHf2Al, relaxed
data_SmHf2Al
_space_group_name_H-M_alt 'P 4/m m m'
_space_group_IT_number 123
_space_group_name_Hall '-P 4 2'
_cell_length_a 4.497
_cell_length_b 4.497
_cell_length_c 4.475
_cell_angle_alpha 90.00
_cell_angle_beta 90.00
_cell_angle_gamma 90.00
loop_
_atom_site_label
_atom_site_fract_x
_atom_site_fract_y
_atom_site_fract_z
_atom_site_occupancy
Sm1 0.000 0.000 0.000 1
Hf1 0.000 0.500 0.500 1
Al1 0.500 0.500 0.000 1
# DOS at the Fermi energy	0.626	states/eV/atom
# offset from the most stable computed form	0.0	meV per atom
# energy of formation from the pure elements	-0.07	eV/atom

=====

No. 9
# PBE-GGA CaTl2Cl, relaxed
data_CaTl2Cl
_space_group_name_H-M_alt 'I -4 m 2'
_space_group_IT_number 119
_space_group_name_Hall 'I -4 -2'
_cell_length_a 5.011
_cell_length_b 5.011
_cell_length_c 8.975
_cell_angle_alpha 90.00
_cell_angle_beta 90.00
_cell_angle_gamma 90.00
loop_
_atom_site_label
_atom_site_fract_x
_atom_site_fract_y
_atom_site_fract_z
_atom_site_occupancy
Ca1 0.000 0.000 0.000 1
Tl1 0.000 0.000 0.500 1
Tl2 0.000 0.500 0.250 1
Cl1 0.000 0.500 0.750 1
# DOS at the Fermi energy	0.698	states/eV/atom
# offset from the most stable computed form	293.2	meV per atom
# formation energy from raw total energies	-545	meV per atom

=====

No. 10
# PBE-GGA CuGeI4, relaxed
data_CuGeI4
_space_group_name_H-M_alt 'P 2 2 2'
_space_group_IT_number 16
_cell_length_a 6.801
_cell_length_b 6.823
_cell_length_c 11.806
_cell_angle_alpha 90.00
_cell_angle_beta 90.00
_cell_angle_gamma 90.00
loop_
_space_group_symop_operation_xyz
'x,y,z'
'-x,-y,z'
'x,-y,-z'
'-x,y,-z'
loop_
_atom_site_label
_atom_site_fract_x
_atom_site_fract_y
_atom_site_fract_z
_atom_site_occupancy
Cu1 0.000 0.000 0.000 1
Cu2 0.000 0.500 0.500 1
Ge1 0.000 0.000 0.500 1
Ge2 0.500 0.000 0.000 1
I1 0.218 0.266 0.376 1
I2 0.240 0.217 0.877 1
# DOS at the Fermi energy	0.910	states/eV/atom
# formation energy from raw total energies	-150	meV per atom

=====

No. 11
# PBE-GGA LaSm4S6, relaxed
data_LaSm4S6
_space_group_name_H-M_alt 'C m c m'
_space_group_IT_number 63
_space_group_name_Hall '-C 2c 2'
_cell_length_a 3.981
_cell_length_b 13.224
_cell_length_c 20.242
_cell_angle_alpha 90.00
_cell_angle_beta 90.00
_cell_angle_gamma 90.00
loop_
_atom_site_label
_atom_site_fract_x
_atom_site_fract_y
_atom_site_fract_z
_atom_site_occupancy
La1 0.000 0.156 0.250 1
Sm1 0.000 0.092 0.627 1
Sm2 0.000 0.361 0.540 1
S1 0.000 0.000 0.000 1
S2 0.000 0.188 0.750 1
S3 0.000 0.268 0.090 1
S4 0.000 0.452 0.667 1
# DOS at the Fermi energy	0.281	states/eV/atom
# formation energy from raw total energies	-2083	meV per atom

=====

No. 12
# PBE-GGA Pr2SmDyAs4, relaxed
data_Pr2SmDyAs4
_space_group_name_H-M_alt 'P 1 2/m 1'
_space_group_IT_number 10
_cell_length_a 7.338
_cell_length_b 4.241
_cell_length_c 7.340
_cell_angle_alpha 90.00
_cell_angle_beta 109.47
_cell_angle_gamma 90.00
loop_
_space_group_symop_operation_xyz
'x,y,z'
'-x,-y,-z'
'-x,y,-z'
'x,-y,z'
loop_
_atom_site_label
_atom_site_fract_x
_atom_site_fract_y
_atom_site_fract_z
_atom_site_occupancy
Pr1 0.000 0.000 0.000 1
Pr2 0.000 0.500 0.500 1
Sm1 0.500 0.000 0.500 1
Dy1 0.500 0.500 0.000 1
As1 0.258 0.500 0.250 1
As2 0.259 0.000 0.756 1
# DOS at the Fermi energy	0.089	states/eV/atom
# energy of formation from the pure elements	-1.51	eV/atom

=====

No. 13
# PBE-GGA Cu2Ni2W, relaxed
data_Cu2Ni2W
_space_group_name_H-M_alt 'P 4/m b m'
_space_group_IT_number 127
_space_group_name_Hall '-P 4 2ab'
_cell_length_a 6.826
_cell_length_b 6.826
_cell_length_c 2.646
_cell_angle_alpha 90.00
_cell_angle_beta 90.00
_cell_angle_gamma 90.00
loop_
_atom_site_label
_atom_site_fract_x
_atom_site_fract_y
_atom_site_fract_z
_atom_site_occupancy
Cu1 0.171 0.329 0.000 1
Ni1 0.127 0.627 0.500 1
W1 0.000 0.000 0.500 1
# DOS at the Fermi energy	0.919	states/eV/atom
# offset from the most stable computed form	17.1	meV per atom
# energy of formation from the pure elements	0.25	eV/atom

=====

No. 14
# PBE-GGA KMg2Cd9, relaxed
data_KMg2Cd9
_space_group_name_H-M_alt 'P 6/m m m'
_space_group_IT_number 191
_space_group_name_Hall '-P 6 2'
_cell_length_a 10.1449
_cell_length_b 10.1449
_cell_length_c 3.2950
_cell_angle_alpha 90.00
_cell_angle_beta 90.00
_cell_angle_gamma 120.00
loop_
_atom_site_label
_atom_site_fract_x
_atom_site_fract_y
_atom_site_fract_z
_atom_site_occupancy
K1 0.0000 0.0000 0.0000 1
Mg1 0.3333 0.6667 0.0000 1
Cd1 0.0000 0.5000 0.0000 1
Cd2 0.1820 0.3640 0.5000 1
# DOS at the Fermi energy	0.432	states/eV/atom
# offset from the most stable computed form	80.9	meV per atom
# energy of formation from the pure elements	-0.01	eV/atom

=====

No. 15
# PBE-GGA YNi3P2, relaxed
data_YNi3P2
_space_group_name_H-M_alt 'P 6/m m m'
_space_group_IT_number 191
_space_group_name_Hall '-P 6 2'
_cell_length_a 8.7856
_cell_length_b 8.7856
_cell_length_c 3.6316
_cell_angle_alpha 90.00
_cell_angle_beta 90.00
_cell_angle_gamma 120.00
loop_
_atom_site_label
_atom_site_fract_x
_atom_site_fract_y
_atom_site_fract_z
_atom_site_occupancy
Y1 0.0000 0.0000 0.0000 1
Y2 0.3333 0.6667 0.5000 1
Ni1 0.0000 0.2862 0.5000 1
Ni2 0.0000 0.5000 0.0000 1
P1 0.1911 0.3822 0.0000 1
# DOS at the Fermi energy	0.322	states/eV/atom
# offset from the most stable computed form	59.7	meV per atom
# energy of formation from the pure elements	-0.87	eV/atom

=====

No. 16
# PBE-GGA TlTcRh2F, relaxed
data_TlTcRh2F
_space_group_name_H-M_alt 'P 4/m m m'
_space_group_IT_number 123
_space_group_name_Hall '-P 4 2'
_cell_length_a 4.216
_cell_length_b 4.216
_cell_length_c 4.754
_cell_angle_alpha 90.00
_cell_angle_beta 90.00
_cell_angle_gamma 90.00
loop_
_atom_site_label
_atom_site_fract_x
_atom_site_fract_y
_atom_site_fract_z
_atom_site_occupancy
Tl1 0.000 0.000 0.000 1
Tc1 0.500 0.500 0.000 1
Rh1 0.000 0.500 0.500 1
F1 0.000 0.000 0.500 1
# DOS at the Fermi energy	1.187	states/eV/atom
# formation energy from raw total energies	685	meV per atom

=====

No. 17
# PBE-GGA ZnAg3Cl6, relaxed
data_ZnAg3Cl6
_space_group_name_H-M_alt 'P 1 21/c 1'
_space_group_IT_number 14
_cell_length_a 6.417
_cell_length_b 6.904
_cell_length_c 11.931
_cell_angle_alpha 90.00
_cell_angle_beta 117.75
_cell_angle_gamma 90.00
loop_
_space_group_symop_operation_xyz
'x,y,z'
'-x,-y,-z'
'-x,y+1/2,-z+1/2'
'x,-y+1/2,z+1/2'
loop_
_atom_site_label
_atom_site_fract_x
_atom_site_fract_y
_atom_site_fract_z
_atom_site_occupancy
Zn1 0.000 0.000 0.000 1
Ag1 0.317 0.115 0.819 1
Ag2 0.500 0.000 0.500 1
Cl1 0.083 0.213 0.415 1
Cl2 0.235 0.683 0.426 1
Cl3 0.392 0.067 0.232 1
# DOS at the Fermi energy	0.459	states/eV/atom
# offset from the most stable computed form	21.2	meV per atom
# formation energy from raw total energies	-574	meV per atom

=====

No. 18
# PBE-GGA CsCaH, relaxed
data_CsCaH
_space_group_name_H-M_alt 'A m m 2'
_space_group_IT_number 38
_cell_length_a 15.077
_cell_length_b 4.162
_cell_length_c 6.684
_cell_angle_alpha 90.00
_cell_angle_beta 90.00
_cell_angle_gamma 90.00
loop_
_space_group_symop_operation_xyz
'x,y,z'
'-x,-y,z'
'-x,y,z'
'x,-y,z'
'x,y+1/2,z+1/2'
'-x,-y+1/2,z+1/2'
'-x,y+1/2,z+1/2'
'x,-y+1/2,z+1/2'
loop_
_atom_site_label
_atom_site_fract_x
_atom_site_fract_y
_atom_site_fract_z
_atom_site_occupancy
Cs1 0.129 0.000 0.000 1
Ca1 0.387 0.000 0.570 1
H1 0.000 0.000 0.651 1
H2 0.500 0.000 0.839 1
# DOS at the Fermi energy	0.467	states/eV/atom
# offset from the most stable computed form	66.1	meV per atom

=====

No. 19
# PBE-GGA Ca2Al9Au3, relaxed
data_Ca2Al9Au3
_space_group_name_H-M_alt 'C 1 2/c 1'
_space_group_IT_number 15
_cell_length_a 13.493
_cell_length_b 8.204
_cell_length_c 10.388
_cell_angle_alpha 90.00
_cell_angle_beta 115.28
_cell_angle_gamma 90.00
loop_
_space_group_symop_operation_xyz
'x,y,z'
'-x,-y,-z'
'-x,y,-z+1/2'
'x,-y,z+1/2'
'x+1/2,y+1/2,z'
'-x+1/2,-y+1/2,-z'
'-x+1/2,y+1/2,-z+1/2'
'x+1/2,-y+1/2,z+1/2'
loop_
_atom_site_label
_atom_site_fract_x
_atom_site_fract_y
_atom_site_fract_z
_atom_site_occupancy
Ca1 0.168 0.086 0.246 1
Al1 0.000 0.371 0.250 1
Al2 0.052 0.091 0.903 1
Al3 0.097 0.335 0.743 1
Al4 0.097 0.412 0.054 1
Al5 0.217 0.419 0.420 1
Au1 0.090 0.219 0.502 1
Au2 0.250 0.250 0.000 1
# DOS at the Fermi energy	0.430	states/eV/atom
# energy of formation from the pure elements	-0.35	eV/atom

=====

No. 20
# PBE-GGA Ca2TaTl, relaxed
data_Ca2TaTl
_space_group_name_H-M_alt 'F -4 3 m'
_space_group_IT_number 216
_space_group_name_Hall 'F -4 2 3'
_cell_length_a 7.476
_cell_length_b 7.476
_cell_length_c 7.476
_cell_angle_alpha 90.00
_cell_angle_beta 90.00
_cell_angle_gamma 90.00
loop_
_atom_site_label
_atom_site_fract_x
_atom_site_fract_y
_atom_site_fract_z
_atom_site_occupancy
Ca1 0.000 0.000 0.000 1
Ca2 0.250 0.250 0.250 1
Ta1 0.000 0.000 0.500 1
Tl1 0.250 0.250 0.750 1
# DOS at the Fermi energy	1.081	states/eV/atom
# offset from the most stable computed form	238.7	meV per atom
# energy of formation from the pure elements	0.58	eV/atom

=====

no.,mass density (g/cm³),M_tot (μB per atom)
1,4.93,0.000
2,9.86,0.194
3,5.54,0.000
4,12.51,0.982
5,4.31,0.993
6,12.40,0.000
7,2.24,0.000
8,9.81,0.000
9,7.14,0.000
10,3.90,0.000
11,5.81,0.000
12,6.90,0.000
13,11.54,0.000
14,6.22,0.000
15,6.71,0.000
16,10.36,0.689
17,4.27,0.000
18,2.76,0.000
19,5.84,0.000
20,7.40,0.582